MnTlI2F | GGA+U | relaxed

The calculated volume is 29.99 Å³ per atom. The energy comes out at -4.148 eV/atom. The value obtained for the total magnetization is 5.0 μB/cell. The calculation puts the density at 5.89 g cm⁻³.

It has space group P4/mmm (No. 123), with a = 6.022 Å, b = 6.022 Å, c = 4.134 Å, α = 90.00°, β = 90.00° and γ = 90.00°. The distinct sites, in fractional coordinates, are Mn at (0.000, 0.000, 0.000), Tl at (0.500, 0.500, 0.500), I at (0.000, 0.500, 0.000) and F at (0.000, 0.000, 0.500).